Below is an optimized crystal structure of Cr2PbW, with properties calculated at the PBE level.

a = 4.3853 Å, b = 4.3853 Å, c = 3.2600 Å
α = 90.00°, β = 90.00°, γ = 90.00°
Fractional coordinates of all 4 atoms:
Cr 0.5000 0.5000 0.0000
Cr 0.0000 0.0000 0.0000
W 0.0000 0.5000 0.5000
Pb 0.5000 0.0000 0.5000

Values from the calculation:
M_tot ... 0.524 μB per atom
Space group ... P4/mmm (123)
Total energy ... -33.302 eV/cell